# La8Sm2Al, relaxed, DFT PBE-GGA
data_La8Sm2Al
_chemical_formula_sum 'La16 Sm4 Al2'
_cell_length_a 18.636
_cell_length_b 5.054
_cell_length_c 8.228
_cell_angle_alpha 90.00
_cell_angle_beta 105.71
_cell_angle_gamma 90.00
_symmetry_space_group_name_H-M 'C 1 2/m 1'
_symmetry_Int_Tables_number 12
loop_
_symmetry_equiv_pos_as_xyz
'x,y,z'
'-x,-y,-z'
'-x,y,-z'
'x,-y,z'
'x+1/2,y+1/2,z'
'-x+1/2,-y+1/2,-z'
'-x+1/2,y+1/2,-z'
'x+1/2,-y+1/2,z'
loop_
_atom_site_label
_atom_site_type_symbol
_atom_site_fract_x
_atom_site_fract_y
_atom_site_fract_z
_atom_site_occupancy
La1 La 0.044 0.000 0.242 1
La2 La 0.088 0.500 0.942 1
La3 La 0.132 0.000 0.673 1
La4 La 0.174 0.500 0.409 1
Sm1 Sm 0.227 0.000 0.136 1
Al1 Al 0.000 0.500 0.500 1
# - formation enthalpy at 0 K (eV per atom) = -0.03
# - energy (eV per atom) = -4.82